Ca6AsP2I3: relaxed, PBE.

abc: 7.511 7.511 7.895
angles: 99.12 99.12 120.00
Atoms (fractional coordinates):
Ca  0.098  0.437  0.810
Ca  0.224  0.224  0.190
Ca  0.437  0.098  0.810
Ca  0.563  0.902  0.190
Ca  0.776  0.776  0.810
Ca  0.902  0.563  0.190
As  0.500  0.500  0.000
P  0.167  0.833  0.000
P  0.833  0.167  0.000
I  0.000  0.000  0.500
I  0.333  0.667  0.500
I  0.667  0.333  0.500

Results
raw total energy = -49.0 eV for the cell shown
SG = C2/m, No. 12
ΔE_f (raw) = -1.4051 eV per atom